{
  "formula": "Cd4Pb5",
  "functional": "GGA-PBE",
  "state": "relaxed",
  "lattice": [[-6.0871, 6.0871, 1.7274], [6.0871, -6.0871, 1.7274], [6.0871, 6.0871, -1.7274]],
  "species": ["Cd", "Cd", "Cd", "Cd", "Pb", "Pb", "Pb", "Pb", "Pb"],
  "fractional_positions": [[0.0000, 0.3445, 0.3445], [0.0000, 0.6555, 0.6555], [0.3445, 0.0000, 0.3445], [0.6555, 0.0000, 0.6555], [0.0000, 0.0000, 0.0000], [0.3330, 0.3330, 0.6660], [0.3330, 0.6670, 0.0000], [0.6670, 0.3330, 0.0000], [0.6670, 0.6670, 0.3340]],
  "spacegroup": "I4/mmm, No. 139",
  "energy_ev_per_atom": -2.391,
  "ef_mev_per_atom": 76,
  "e_above_lowest_polymorph_mev_per_atom": 24.6
}